(1)
## Sm2Y8Zr (PBE)

Data for a relaxed structure of Sm2Y8Zr.

Geometry as POSCAR:
```
Sm2Y8Zr
1.0
4.829 0.000 -1.286
-0.518 7.669 -1.945
-0.088 -0.061 9.378
Y Zr Sm
8 1 2
Direct
0.411 0.558 0.823 Y
0.322 0.090 0.643 Y
0.678 0.910 0.357 Y
0.131 0.174 0.262 Y
0.869 0.826 0.738 Y
0.956 0.262 0.912 Y
0.044 0.738 0.088 Y
0.589 0.442 0.177 Y
0.500 0.000 0.000 Zr
0.226 0.634 0.453 Sm
0.774 0.366 0.547 Sm
```

Output
raw total energy	-6.288	eV/atom
ΔH_f (0 K)	48	meV per atom
density of states at the Fermi level	15.1	states/eV per cell
total moment	0.0	Bohr magnetons per cell
SG	C2/m

=====

(2)
## Sm2YZr (PBE)

Data for a relaxed structure of Sm2YZr.

Geometry as POSCAR:
```
Sm2YZr
1.0
3.499 0.000 0.000
1.749 3.030 0.000
1.749 1.010 11.367
Zr Sm Y
1 2 1
Direct
0.667 0.667 0.999 Zr
0.255 0.255 0.235 Sm
0.078 0.078 0.765 Sm
0.500 0.500 0.501 Y
```

Output
raw total energy	-6.002	eV/atom
energy above the lowest structure with this stoichiometry	0	kJ/mol of formula units
ΔH_f (0 K)	110	meV per atom
density of states at the Fermi level	6.2	states/eV per cell
total moment	0.0	Bohr magnetons per cell
SG	R3m

=====

(3)
## SmY2Zr (PBE)

Data for a relaxed structure of SmY2Zr.

Geometry as POSCAR:
```
SmY2Zr
1.0
-1.143 3.190 0.748
-3.337 0.502 0.807
0.910 -0.491 11.533
Sm Y Zr
1 2 1
Direct
0.500 0.500 0.500 Sm
0.256 0.256 0.233 Y
0.744 0.744 0.767 Y
0.000 0.000 0.000 Zr
```

Output
raw total energy	-6.457	eV/atom
energy above the lowest structure with this stoichiometry	1	kJ/mol of formula units
ΔH_f (0 K)	92	meV per atom
density of states at the Fermi level	5.7	states/eV per cell
total moment	0.0	Bohr magnetons per cell
SG	R-3m

=====

(4)
## Sm2YZr (PBE)

Data for a relaxed structure of Sm2YZr.

Geometry as POSCAR:
```
Sm2YZr
1.0
3.483 0.000 0.000
1.742 3.017 0.000
1.742 1.006 11.438
Sm Zr Y
2 1 1
Direct
0.255 0.255 0.235 Sm
0.745 0.745 0.765 Sm
0.000 0.000 0.000 Zr
0.500 0.500 0.500 Y
```

Output
raw total energy	-6.002	eV/atom
energy above the lowest structure with this stoichiometry	0	kJ/mol of formula units
ΔH_f (0 K)	110	meV per atom
density of states at the Fermi level	5.5	states/eV per cell
total moment	0.0	Bohr magnetons per cell
SG	R-3m

=====

(5)
## Sm2YZr (PBE)

Data for a relaxed structure of Sm2YZr.

Geometry as POSCAR:
```
Sm2YZr
1.0
4.055 0.000 0.000
0.000 4.055 0.000
0.000 0.000 7.328
Sm Y Zr
2 1 1
Direct
0.000 0.000 0.776 Sm
0.000 0.000 0.224 Sm
0.500 0.500 0.500 Y
0.500 0.500 0.000 Zr
```

Output
raw total energy	-5.944	eV/atom
energy above the lowest structure with this stoichiometry	23	kJ/mol of formula units
ΔH_f (0 K)	169	meV per atom
density of states at the Fermi level	6.3	states/eV per cell
total moment	0.0	Bohr magnetons per cell
SG	P4/mmm

=====

(6)
## Sm2YZr (PBE)

Data for a relaxed structure of Sm2YZr.

Geometry as POSCAR:
```
Sm2YZr
1.0
4.899 0.000 0.000
0.000 4.941 0.000
0.000 0.000 4.941
Y Sm Zr
1 2 1
Direct
0.500 0.000 0.000 Y
0.000 0.500 0.000 Sm
0.000 0.000 0.500 Sm
0.500 0.500 0.500 Zr
```

Output
raw total energy	-5.995	eV/atom
energy above the lowest structure with this stoichiometry	3	kJ/mol of formula units
ΔH_f (0 K)	118	meV per atom
density of states at the Fermi level	4.7	states/eV per cell
total moment	0.0	Bohr magnetons per cell
SG	P4/mmm